Below is a relaxed structure of LaY6Ho8, with properties calculated at the GGA-PBE level.

Summary:
Energy of formation: 131 meV per atom
Crystal system: trigonal

Cell: 9.0360 9.0360 8.6334 Å, 58.44 58.44 60.00°
Sites, in units of the cell vectors:
La: 0.0000 0.0000 0.0000
Y: 0.4637 0.8949 0.8766
Y: 0.1051 0.2352 0.1234
Y: 0.2352 0.5363 0.1234
Y: 0.7648 0.4637 0.8766
Y: 0.8949 0.7648 0.8766
Y: 0.5363 0.1051 0.1234
Ho: 0.2547 0.2816 0.5748
Ho: 0.7184 0.1112 0.4252
Ho: 0.1112 0.7453 0.4252
Ho: 0.5763 0.5763 0.2710
Ho: 0.4237 0.4237 0.7290
Ho: 0.8888 0.2547 0.5748
Ho: 0.2816 0.8888 0.5748
Ho: 0.7453 0.7184 0.4252



Below is a relaxed structure of Ca2LaPd, with properties calculated at the GGA-PBE level.

Summary:
Energy of formation: -405 meV per atom
E above lowest polymorph: 0.0 kJ/mol of atoms
Crystal system: orthorhombic

Cell: 4.0126 6.7025 10.0505 Å, 90.00 90.00 107.37°
Sites, in units of the cell vectors:
Ca: 0.3571 0.7143 0.5678
Ca: 0.6429 0.2857 0.4322
Ca: 0.3571 0.7143 0.9322
Ca: 0.6429 0.2857 0.0678
La: 0.9190 0.8382 0.2500
La: 0.0810 0.1618 0.7500
Pd: 0.7419 0.4842 0.7500
Pd: 0.2581 0.5158 0.2500



Below is a relaxed structure of NaFeOs2, with properties calculated at the GGA-PBE level.

Summary:
Energy of formation: 1120 meV per atom
E above lowest polymorph: 0.0 kJ/mol of atoms
Crystal system: tetragonal

Cell: 7.2609 7.2609 5.6884 Å, 50.34 50.34 90.00°
Last column: magnetic moment on the atom in μB.
Sites, in units of the cell vectors:
Na: 0.5000 0.5000 0.0000  0.00
Na: 0.2500 0.7500 0.5000  0.00
Os: 0.6902 0.1250 0.2500  0.01
Os: 0.0598 0.6250 0.2500  0.00
Os: 0.3750 0.3098 0.7500  0.02
Os: 0.8750 0.9402 0.7500  0.00
Fe: 0.0000 0.0000 0.0000  0.94
Fe: 0.7500 0.2500 0.5000  0.94



Below is a relaxed structure of Ta2AsBrF, with properties calculated at the GGA-PBE level.

Summary:
E_form (uncorrected): 0.638 eV per atom
E above lowest polymorph: 0.0 kJ/mol of atoms
Crystal system: tetragonal

Cell: 4.9157 4.3980 4.9157 Å, 90.00 90.00 90.00°
Last column: magnetic moment on the atom in μB.
Sites, in units of the cell vectors:
As: 0.0000 0.0000 0.0000  -0.03
F: 0.0000 0.5000 0.0000  0.07
Br: 0.5000 0.5000 0.5000  0.01
Ta: 0.0000 0.0000 0.5000  0.93
Ta: 0.5000 0.0000 0.0000  0.76



Below is a relaxed structure of Na3CrGe, with properties calculated at the GGA-PBE level.

Summary:
Energy of formation: 960 meV per atom
E above lowest polymorph: 23.4 kJ/mol of atoms
Crystal system: cubic

Cell: 5.5345 5.5345 5.5345 Å, 90.00 90.00 90.00°
Last column: magnetic moment on the atom in μB.
Sites, in units of the cell vectors:
Cr: 0.0000 0.0000 0.0000  4.29
Ge: 0.5000 0.5000 0.5000  -0.34
Na: 0.0000 0.5000 0.0000  0.02
Na: 0.0000 0.0000 0.5000  0.01
Na: 0.5000 0.0000 0.0000  0.04



Below is a relaxed structure of Y2GaNi12H3, with properties calculated at the GGA-PBE level.

Summary:
Electronic total energy: -97.3 eV/cell
Crystal system: trigonal

Cell: 6.8909 6.8909 6.8909 Å, 56.40 56.40 56.40°
Sites, in units of the cell vectors:
Y: 0.5980 0.5980 0.5980
Y: 0.4020 0.4020 0.4020
Ga: 0.0000 0.0000 0.0000
Ni: 0.2785 0.2785 0.9023
Ni: 0.8627 0.8627 0.4535
Ni: 0.4535 0.8627 0.8627
Ni: 0.9023 0.2785 0.2785
Ni: 0.8627 0.4535 0.8627
Ni: 0.2785 0.9023 0.2785
Ni: 0.7215 0.7215 0.0977
Ni: 0.1373 0.1373 0.5465
Ni: 0.5465 0.1373 0.1373
Ni: 0.0977 0.7215 0.7215
Ni: 0.1373 0.5465 0.1373
Ni: 0.7215 0.0977 0.7215
H: 0.5000 0.0000 0.0000
H: 0.0000 0.5000 0.0000
H: 0.0000 0.0000 0.5000



The records above give, respectively, size of the total moment values of 0.00, 0.00, 1.00, 2.72, 4.25, 0.00 μB per formula unit.